[1]
A plane-wave DFT calculation with PBE was carried out for a relaxed CaCd2RhPb crystal.

Lattice parameters (Å, degrees): 5.2118 5.2118 5.1627 90.00 90.00 90.00
Atoms (fractional coordinates):
Pb (0.0000, 0.0000, 0.5000)
Ca (0.5000, 0.5000, 0.5000)
Rh (0.0000, 0.0000, 0.0000)
Cd (0.0000, 0.5000, 0.0000)
Cd (0.5000, 0.0000, 0.0000)

Summary:
Formation energy from the elements (meV per atom): -107
Symmetry: No. 123


[2]
A plane-wave DFT calculation with PBE was carried out for a relaxed Ca2CdRhPb crystal.

Lattice parameters (Å, degrees): 5.4515 5.4515 5.1886 90.00 90.00 90.00
Atoms (fractional coordinates):
Pb (0.0000, 0.0000, 0.5000)
Ca (0.0000, 0.5000, 0.0000)
Ca (0.5000, 0.0000, 0.0000)
Rh (0.0000, 0.0000, 0.0000)
Cd (0.5000, 0.5000, 0.5000)

Summary:
Formation energy from the elements (meV per atom): -281
Symmetry: No. 123


[3]
A plane-wave DFT calculation with PBE was carried out for a relaxed CaCdSbPb2 crystal.

Lattice parameters (Å, degrees): 5.6518 5.6360 5.6518 90.00 90.00 90.00
Atoms (fractional coordinates):
Pb (0.0000, 0.0000, 0.5000)
Pb (0.5000, 0.0000, 0.0000)
Sb (0.0000, 0.5000, 0.0000)
Ca (0.5000, 0.5000, 0.5000)
Cd (0.0000, 0.0000, 0.0000)

Summary:
Raw formation energy (eV per atom): 0.1922
Symmetry: No. 123


Which formula does entry 2 have?
Ca2CdRhPb